Compound: KScS
Source: Alexandria
Functional: PBE-GGA
Structure: optimized geometry

Cell: 4.4560 4.4560 10.5712 Å, 90.00 90.00 90.00°
Last column: nearest neighbours and their distance in Å.
Space group P4/nmm (No. 129, origin choice 2)
One atom of each set of equivalent atoms:
K (0.2500, 0.2500, 0.1718) (multiplicity 2)  4 S 3.87, 4 Sc 4.12
Sc (0.2500, 0.7500, 0.5000) (multiplicity 2)  4 S 2.54
S (0.2500, 0.2500, 0.6161) (multiplicity 2)  4 Sc 2.54

Calculated values
formation energy from raw total energies: -1.0291 eV/atom
Fermi-level density of states: 3.05 states/eV per cell

***

Compound: KB2Ir2
Source: Alexandria
Functional: PBE-GGA
Structure: optimized geometry

Cell: 3.9747 3.9747 11.8809 Å, 90.00 90.00 90.00°
Last column: nearest neighbours and their distance in Å.
Space group I4/mmm (No. 139)
One atom of each set of equivalent atoms:
K (0.0000, 0.0000, 0.0000) (multiplicity 2)  8 Ir 3.57, 10 B 3.63-3.64, 4 K 3.97
B (0.0000, 0.0000, 0.3067) (multiplicity 4)  4 Ir 2.10
Ir (0.0000, 0.5000, 0.2500) (multiplicity 4)  4 B 2.10

Calculated values
Fermi-level density of states: 1.20 states/eV per cell
energy above the lowest structure with this stoichiometry: 0.000 eV per atom
ΔE_f: -0.25 eV/atom